# 1
# TlH6Ir (PBE, relaxed)
# - Final energy: -3.80 eV per atom
# - Magnetization: 0.0 Bohr magnetons per cell
# - V: 12.07 A^3/atom
# - Crystal system: monoclinic
data_TlH6Ir
_cell_length_a 8.314
_cell_length_b 5.664
_cell_length_c 5.305
_cell_angle_alpha 90.00
_cell_angle_beta 129.40
_cell_angle_gamma 90.00
_space_group_name_H-M_alt 'C 1 2/m 1'
_space_group_IT_number 12
loop_
_space_group_symop_operation_xyz
'x,y,z'
'-x,-y,-z'
'-x,y,-z'
'x,-y,z'
'x+1/2,y+1/2,z'
'-x+1/2,-y+1/2,-z'
'-x+1/2,y+1/2,-z'
'x+1/2,-y+1/2,z'
loop_
_atom_site_label
_atom_site_fract_x
_atom_site_fract_y
_atom_site_fract_z
Tl1 0.000 0.000 0.000
H1 0.002 0.281 0.403
H2 0.238 0.500 0.238
Ir1 0.000 0.000 0.500

# 2
# FeAuCl2 (PBE, relaxed)
# - Magnetization: 6.5 Bohr magnetons per cell
# - V: 18.63 A^3/atom
# - Formation energy (no corrections): 0.3722 eV per atom
# - Crystal system: orthorhombic
data_FeAuCl2
_cell_length_a 6.559
_cell_length_b 6.581
_cell_length_c 3.453
_cell_angle_alpha 90.00
_cell_angle_beta 90.00
_cell_angle_gamma 90.00
_space_group_name_H-M_alt 'C m m m'
_space_group_IT_number 65
_space_group_name_Hall '-C 2 2'
loop_
_atom_site_label
_atom_site_fract_x
_atom_site_fract_y
_atom_site_fract_z
Fe1 0.000 0.000 0.000
Au1 0.000 0.500 0.000
Cl1 0.250 0.250 0.500

# 3
# NaSrLiPb (PBE, relaxed)
# - Magnetization: 0.0 Bohr magnetons per cell
# - V: 27.29 A^3/atom
# - Formation energy from the elements: -0.2870 eV/atom
# - Crystal system: cubic
data_NaSrLiPb
_cell_length_a 7.586
_cell_length_b 7.586
_cell_length_c 7.586
_cell_angle_alpha 90.00
_cell_angle_beta 90.00
_cell_angle_gamma 90.00
_space_group_name_H-M_alt 'F -4 3 m'
_space_group_IT_number 216
_space_group_name_Hall 'F -4 2 3'
loop_
_atom_site_label
_atom_site_fract_x
_atom_site_fract_y
_atom_site_fract_z
Na1 0.000 0.000 0.000
Sr1 0.250 0.250 0.750
Li1 0.000 0.000 0.500
Pb1 0.250 0.250 0.250

# 4
# CeMg6B (PBE, relaxed)
# - Magnetization: 0.4 Bohr magnetons per cell
# - V: 22.27 A^3/atom
# - Formation energy from the elements: 0.2051 eV/atom
# - Crystal system: orthorhombic
data_CeMg6B
_cell_length_a 4.345
_cell_length_b 8.064
_cell_length_c 10.171
_cell_angle_alpha 90.00
_cell_angle_beta 90.00
_cell_angle_gamma 90.00
_space_group_name_H-M_alt 'A m m 2'
_space_group_IT_number 38
loop_
_space_group_symop_operation_xyz
'x,y,z'
'-x,-y,z'
'-x,y,z'
'x,-y,z'
'x,y+1/2,z+1/2'
'-x,-y+1/2,z+1/2'
'-x,y+1/2,z+1/2'
'x,-y+1/2,z+1/2'
loop_
_atom_site_label
_atom_site_fract_x
_atom_site_fract_y
_atom_site_fract_z
Ce1 0.000 0.000 0.000
Mg1 0.000 0.000 0.570
Mg2 0.000 0.185 0.271
Mg3 0.500 0.000 0.769
Mg4 0.500 0.223 0.509
B1 0.500 0.000 0.139

# 5
# La2ZrZn (PBE, relaxed)
# - Magnetization: 0.0 Bohr magnetons per cell
# - V: 27.94 A^3/atom
# - Formation energy from the elements: -0.0253 eV/atom
# - Crystal system: tetragonal
data_La2ZrZn
_cell_length_a 3.523
_cell_length_b 3.523
_cell_length_c 9.006
_cell_angle_alpha 90.00
_cell_angle_beta 90.00
_cell_angle_gamma 90.00
_space_group_name_H-M_alt 'P 4/m m m'
_space_group_IT_number 123
_space_group_name_Hall '-P 4 2'
loop_
_atom_site_label
_atom_site_fract_x
_atom_site_fract_y
_atom_site_fract_z
La1 0.000 0.000 0.231
Zr1 0.500 0.500 0.500
Zn1 0.500 0.500 0.000

# 6
# BiW3N (PBE, relaxed)
# - Magnetization: 0.0 Bohr magnetons per cell
# - V: 25.36 A^3/atom
# - Formation energy (no corrections): 4.3860 eV per atom
# - Crystal system: cubic
data_BiW3N
_cell_length_a 5.024
_cell_length_b 5.024
_cell_length_c 5.024
_cell_angle_alpha 90.00
_cell_angle_beta 90.00
_cell_angle_gamma 90.00
_space_group_name_H-M_alt 'P m -3 m'
_space_group_IT_number 221
_space_group_name_Hall '-P 4 2 3'
loop_
_atom_site_label
_atom_site_fract_x
_atom_site_fract_y
_atom_site_fract_z
Bi1 0.000 0.000 0.000
W1 0.000 0.000 0.500
N1 0.500 0.500 0.500